VASP calculation (PBE-GGA) on a relaxed HfSe2BrN crystal.

Cell lengths 4.5722, 4.5722, 4.2825 Å; angles 90.00, 90.00, 90.00 degrees
Closest atoms and distances in Å follow each position.
Atoms (fractional coordinates):
Hf  0.5000  0.5000  0.5000  8 Se 3.13, 4 Br 3.23
Se  0.0000  0.5000  0.0000  2 N 2.29
Se  0.5000  0.0000  0.0000  2 N 2.29
Br  0.0000  0.0000  0.5000  2 N 2.14
N  0.0000  0.0000  0.0000  2 Br 2.14, 4 Se 2.29

Computed properties:
Formation energy (no corrections) in eV/atom: 0.627
Fermi-level density of states in states/eV/f.u.: 2.751



VASP calculation (PBE-GGA) on a relaxed NbCrAu3 crystal.

Cell lengths 5.0502, 5.0502, 5.0502 Å; angles 90.00, 90.00, 90.00 degrees
Closest atoms and distances in Å follow each position.
Atoms (fractional coordinates):
Cr  0.5000  0.5000  0.5000  12 Au 3.57
Nb  0.0000  0.0000  0.0000  6 Au 2.53
Au  0.0000  0.5000  0.0000  2 Nb 2.53
Au  0.0000  0.0000  0.5000  2 Nb 2.53
Au  0.5000  0.0000  0.0000  2 Nb 2.53

Computed properties:
Fermi-level density of states in states/eV/f.u.: 11.921



VASP calculation (PBE-GGA) on a relaxed Sr2Bi3Pb2 crystal.

Cell lengths 5.4868, 5.4930, 10.6170 Å; angles 90.07, 105.00, 119.93 degrees
Closest atoms and distances in Å follow each position.
Atoms (fractional coordinates):
Sr  0.7594  0.3802  0.1387  6 Bi 3.47-3.60
Sr  0.2406  0.6198  0.8613  6 Bi 3.47-3.60
Bi  0.0000  0.0000  0.0000  6 Sr 3.47, 2 Pb 3.76
Bi  0.4611  0.2290  0.6926  4 Pb 3.22-3.26, 3 Sr 3.60
Bi  0.5389  0.7710  0.3074  4 Pb 3.22-3.26, 3 Sr 3.60
Pb  0.2474  0.1221  0.3712  4 Bi 3.22-3.26
Pb  0.7526  0.8779  0.6288  4 Bi 3.22-3.26

Computed properties:
Fermi-level density of states in states/eV/f.u.: 3.530



VASP calculation (PBE-GGA) on a relaxed Tb5Pm4Tl crystal.

Cell lengths 5.8768, 8.1458, 8.1458 Å; angles 82.52, 68.86, 68.86 degrees
Closest atoms and distances in Å follow each position.
Atoms (fractional coordinates):
Tb  0.7691  0.3701  0.0000  1 Tl 3.11, 1 Tb 3.30, 2 Pm 3.38
Tb  0.1392  0.0000  0.6299  1 Tl 3.11, 1 Tb 3.30, 2 Pm 3.38
Tb  0.7691  0.0000  0.3701  1 Tl 3.11, 1 Tb 3.30, 2 Pm 3.38
Tb  0.1392  0.6299  0.0000  1 Tl 3.11, 1 Tb 3.30, 2 Pm 3.38
Tb  0.6607  0.0000  0.0000  2 Tl 2.83-3.05
Pm  0.4634  0.3133  0.6867  5 Tb 3.38-3.76, 1 Tl 3.76
Pm  0.7768  0.6867  0.6867  5 Tb 3.38-3.76, 1 Tl 3.76
Pm  0.1502  0.3133  0.3133  5 Tb 3.38-3.76, 1 Tl 3.76
Pm  0.4635  0.6867  0.3133  5 Tb 3.38-3.76, 1 Tl 3.76
Tl  0.1791  0.0000  0.0000  6 Tb 2.83-3.11

Computed properties:
Fermi-level density of states in states/eV/f.u.: 14.379



VASP calculation (PBE-GGA) on a relaxed Ho3Tl3VS8 crystal.

Cell lengths 7.7421, 7.7425, 8.7830 Å; angles 116.15, 90.00, 120.00 degrees
Closest atoms and distances in Å follow each position.
Atoms (fractional coordinates):
Ho  0.5000  0.0000  0.5000  6 S 2.70-2.74
Ho  0.5000  0.5000  0.5000  6 S 2.70-2.74
Ho  0.0000  0.5000  0.5000  6 S 2.70-2.74
Tl  0.0000  0.0000  0.0000  6 S 3.19
Tl  0.0000  0.5000  0.0000  6 S 3.19
Tl  0.5000  0.5000  0.0000  6 S 3.19
V  0.0000  0.0000  0.5000  6 S 2.47
S  0.2667  0.5334  0.3001  3 Ho 2.70
S  0.7333  0.4666  0.6999  3 Ho 2.70
S  0.7868  0.5737  0.3138  1 V 2.47, 2 Ho 2.74
S  0.2132  0.4263  0.6862  1 V 2.47, 2 Ho 2.74
S  0.7868  0.0269  0.3138  1 V 2.47, 2 Ho 2.74
S  0.2132  0.9731  0.6862  1 V 2.47, 2 Ho 2.74
S  0.2401  0.0269  0.3138  1 V 2.47, 2 Ho 2.74
S  0.7599  0.9731  0.6862  1 V 2.47, 2 Ho 2.74

Computed properties:
Formation energy (no corrections) in eV/atom: -1.297
Fermi-level density of states in states/eV/f.u.: 5.803



VASP calculation (PBE-GGA) on a relaxed SnGeN3 crystal.

Cell lengths 3.8505, 3.8505, 3.8505 Å; angles 90.00, 90.00, 90.00 degrees
Closest atoms and distances in Å follow each position.
Atoms (fractional coordinates):
Ge  0.0000  0.0000  0.0000  6 N 1.93
Sn  0.5000  0.5000  0.5000  12 N 2.72
N  0.0000  0.5000  0.0000  2 Ge 1.93
N  0.0000  0.0000  0.5000  2 Ge 1.93
N  0.5000  0.0000  0.0000  2 Ge 1.93

Computed properties:
Formation energy (no corrections) in eV/atom: 1.239
Fermi-level density of states in states/eV/f.u.: 3.484



no.,DFT total energy (eV per atom)
1,-4.757
2,-4.248
3,-3.640
4,-4.346
5,-5.495
6,-5.480